## MnGaSbO6 (GGA+U)

Data for a relaxed MnGaSbO6 crystal.

Unit cell a=5.051 b=5.051 c=8.595 alpha=90.00 beta=90.00 gamma=120.00
Sites, in units of the cell vectors:
Mn1 0.000 0.000 0.000
Mn2 0.000 0.000 0.500
Ga1 0.333 0.667 0.250
Ga2 0.667 0.333 0.750
Sb1 0.333 0.667 0.750
Sb2 0.667 0.333 0.250
O1 0.002 0.333 0.124
O2 0.002 0.669 0.376
O3 0.331 0.333 0.376
O4 0.331 0.998 0.124
O5 0.333 0.002 0.624
O6 0.333 0.331 0.876
O7 0.667 0.669 0.124
O8 0.667 0.998 0.376
O9 0.669 0.002 0.876
O10 0.669 0.667 0.624
O11 0.998 0.331 0.624
O12 0.998 0.667 0.876

DFT total energy: -6.283 eV/atom
density: 5.99 g cm⁻³